The following is a DFT calculation (PBE) of a geometry-optimized La2PrMgO structure.

Unit cell a=5.1081 b=5.1081 c=5.0986 alpha=90.00 beta=90.00 gamma=90.00
Positions (direct):
La1 0.0000 0.5000 0.0000
La2 0.5000 0.0000 0.0000
Pr1 0.0000 0.0000 0.5000
Mg1 0.5000 0.5000 0.5000
O1 0.0000 0.0000 0.0000

Values from the calculation:
Magnetization   0.00 μB per formula unit
Density of states at the Fermi level   6.3 states/eV/f.u.
ΔE_f (raw)   -1188 meV per atom
Raw total energy   -0.1994 hartree per atom

The following is a DFT calculation (PBE) of a geometry-optimized La2MgPtO5 structure.

Unit cell a=6.8523 b=6.8523 c=5.7862 alpha=90.00 beta=90.00 gamma=90.00
Positions (direct):
La1 0.1730 0.3270 0.0000
La2 0.3270 0.8270 0.0000
La3 0.6730 0.1730 0.0000
La4 0.8270 0.6730 0.0000
Mg1 0.0000 0.0000 0.5000
Mg2 0.5000 0.5000 0.5000
Pt1 0.0000 0.5000 0.5000
Pt2 0.5000 0.0000 0.5000
O1 0.0000 0.0000 0.0000
O2 0.1494 0.6494 0.2603
O3 0.1494 0.6494 0.7397
O4 0.3506 0.1494 0.2603
O5 0.3506 0.1494 0.7397
O6 0.5000 0.5000 0.0000
O7 0.6494 0.8506 0.2603
O8 0.6494 0.8506 0.7397
O9 0.8506 0.3506 0.2603
O10 0.8506 0.3506 0.7397

Values from the calculation:
Magnetization   0.00 μB per formula unit
ΔE_f (raw)   -2199 meV per atom
Raw total energy   -0.2534 hartree per atom

The following is a DFT calculation (PBE) of a geometry-optimized La2PuMgO6 structure.

Unit cell a=5.7821 b=5.9430 c=10.1075 alpha=90.00 beta=124.17 gamma=90.00
Positions (direct):
La1 0.2333 0.0495 0.2488
La2 0.2333 0.4505 0.7488
La3 0.7667 0.5495 0.2512
La4 0.7667 0.9505 0.7512
Pu1 0.5000 0.0000 0.0000
Pu2 0.5000 0.5000 0.5000
Mg1 0.0000 0.0000 0.5000
Mg2 0.0000 0.5000 0.0000
O1 0.1343 0.2026 0.9398
O2 0.1343 0.2974 0.4398
O3 0.2322 0.6974 0.9372
O4 0.2322 0.8026 0.4372
O5 0.3618 0.0450 0.7461
O6 0.3618 0.4550 0.2461
O7 0.6382 0.5450 0.7539
O8 0.6382 0.9550 0.2539
O9 0.7678 0.1974 0.5628
O10 0.7678 0.3026 0.0628
O11 0.8657 0.7026 0.5602
O12 0.8657 0.7974 0.0602

Values from the calculation:
Magnetization   4.00 μB per formula unit
ΔE_f (raw)   -3132 meV per atom
Raw total energy   -0.3192 hartree per atom

The following is a DFT calculation (PBE) of a geometry-optimized RbLaMg6O8 structure.

Unit cell a=4.7316 b=4.7316 c=9.1416 alpha=90.00 beta=90.00 gamma=90.00
Positions (direct):
Rb1 0.0000 0.0000 0.0000
La1 0.5000 0.5000 0.0000
Mg1 0.0000 0.0000 0.5000
Mg2 0.0000 0.5000 0.2781
Mg3 0.0000 0.5000 0.7219
Mg4 0.5000 0.0000 0.2781
Mg5 0.5000 0.0000 0.7219
Mg6 0.5000 0.5000 0.5000
O1 0.0000 0.0000 0.2863
O2 0.0000 0.0000 0.7137
O3 0.0000 0.5000 0.0000
O4 0.0000 0.5000 0.5000
O5 0.5000 0.0000 0.0000
O6 0.5000 0.0000 0.5000
O7 0.5000 0.5000 0.2738
O8 0.5000 0.5000 0.7262

Values from the calculation:
Magnetization   0.00 μB per formula unit
Energy above the lowest structure with this stoichiometry   0.0 kJ per mole of atoms
ΔE_f (raw)   -2261 meV per atom
Raw total energy   -0.2097 hartree per atom

The following is a DFT calculation (PBE) of a geometry-optimized RbLaMgO3 structure.

Unit cell a=7.9634 b=3.7391 c=8.6022 alpha=90.00 beta=102.45 gamma=90.00
Positions (direct):
Rb1 0.1758 0.2500 0.1907
Rb2 0.8242 0.7500 0.8093
La1 0.3493 0.7500 0.8470
La2 0.6507 0.2500 0.1530
Mg1 0.0857 0.2500 0.6020
Mg2 0.9143 0.7500 0.3980
O1 0.1468 0.7500 0.5475
O2 0.1505 0.2500 0.8357
O3 0.4482 0.7500 0.1249
O4 0.5518 0.2500 0.8751
O5 0.8495 0.7500 0.1643
O6 0.8532 0.2500 0.4525

Values from the calculation:
Magnetization   0.00 μB per formula unit
Density of states at the Fermi level   0.0 states/eV/f.u.
ΔE_f (raw)   -2523 meV per atom
Raw total energy   -0.2297 hartree per atom

The following is a DFT calculation (PBE) of a geometry-optimized RbLaMg6O8 structure.

Unit cell a=4.7114 b=4.7114 c=9.3978 alpha=90.00 beta=90.00 gamma=90.00
Positions (direct):
Rb1 0.0000 0.0000 0.0000
La1 0.0000 0.0000 0.5000
Mg1 0.0000 0.5000 0.2244
Mg2 0.0000 0.5000 0.7756
Mg3 0.5000 0.0000 0.2244
Mg4 0.5000 0.0000 0.7756
Mg5 0.5000 0.5000 0.0000
Mg6 0.5000 0.5000 0.5000
O1 0.0000 0.0000 0.2597
O2 0.0000 0.0000 0.7403
O3 0.0000 0.5000 0.0000
O4 0.0000 0.5000 0.5000
O5 0.5000 0.0000 0.0000
O6 0.5000 0.0000 0.5000
O7 0.5000 0.5000 0.2444
O8 0.5000 0.5000 0.7556

Values from the calculation:
Magnetization   0.00 μB per formula unit
Energy above the lowest structure with this stoichiometry   12.6 kJ per mole of atoms
Density of states at the Fermi level   3.1 states/eV/f.u.
ΔE_f (raw)   -2131 meV per atom
Raw total energy   -0.2049 hartree per atom

The following is a DFT calculation (PBE) of a geometry-optimized LaMgReO6 structure.

Unit cell a=5.2587 b=5.2587 c=5.1397 alpha=90.00 beta=90.00 gamma=120.00
Positions (direct):
La1 0.0000 0.0000 0.0000
Mg1 0.3333 0.6667 0.5000
Re1 0.6667 0.3333 0.5000
O1 0.3812 0.0256 0.7107
O2 0.3812 0.3557 0.2893
O3 0.6443 0.0256 0.2893
O4 0.6443 0.6188 0.7107
O5 0.9744 0.3557 0.7107
O6 0.9744 0.6188 0.2893

Values from the calculation:
Magnetization   0.00 μB per formula unit
Density of states at the Fermi level   0.0 states/eV/f.u.
ΔE_f (raw)   -2404 meV per atom
Raw total energy   -0.2873 hartree per atom

The following is a DFT calculation (PBE) of a geometry-optimized La2MgRhO5 structure.

Unit cell a=6.8607 b=6.8607 c=5.7504 alpha=90.00 beta=90.00 gamma=90.00
Positions (direct):
La1 0.1729 0.3271 0.0000
La2 0.3271 0.8271 0.0000
La3 0.6729 0.1729 0.0000
La4 0.8271 0.6729 0.0000
Mg1 0.0000 0.0000 0.5000
Mg2 0.5000 0.5000 0.5000
Rh1 0.0000 0.5000 0.5000
Rh2 0.5000 0.0000 0.5000
O1 0.0000 0.0000 0.0000
O2 0.1467 0.6467 0.2599
O3 0.1467 0.6467 0.7401
O4 0.3533 0.1467 0.2599
O5 0.3533 0.1467 0.7401
O6 0.5000 0.5000 0.0000
O7 0.6467 0.8533 0.2599
O8 0.6467 0.8533 0.7401
O9 0.8533 0.3533 0.2599
O10 0.8533 0.3533 0.7401

Values from the calculation:
Magnetization   1.03 μB per formula unit
Density of states at the Fermi level   6.3 states/eV/f.u.
ΔE_f (raw)   -2164 meV per atom
Raw total energy   -0.2575 hartree per atom